Record 1
ReNiTe2 | PBE | optimized geometry

```
data_ReNiTe2
_cell_length_a 3.305
_cell_length_b 3.305
_cell_length_c 8.046
_cell_angle_alpha 90.00
_cell_angle_beta 90.00
_cell_angle_gamma 90.00
_symmetry_space_group_name_H-M 'P 4 m m'
_symmetry_Int_Tables_number 99
loop_
_symmetry_equiv_pos_as_xyz
'x,y,z'
'-y,x,z'
'-x,-y,z'
'y,-x,z'
'-x,y,z'
'y,x,z'
'x,-y,z'
'-y,-x,z'
loop_
_atom_site_label
_atom_site_fract_x
_atom_site_fract_y
_atom_site_fract_z
_atom_site_occupancy
Re1 0.000 0.000 0.000 1
Ni1 0.500 0.500 0.813 1
Te1 0.000 0.000 0.664 1
Te2 0.500 0.500 0.187 1
```

Calculated density ... 9.45 Mg/m³
Final energy ... -5.881 eV/atom
Energy above the most stable polymorph in this dataset ... 142 meV/atom

Record 2
Cu2OsPb | PBE | optimized geometry

```
data_Cu2OsPb
_cell_length_a 2.982
_cell_length_b 2.982
_cell_length_c 7.682
_cell_angle_alpha 90.00
_cell_angle_beta 90.00
_cell_angle_gamma 90.00
_symmetry_space_group_name_H-M 'P 4/m m m'
_symmetry_Int_Tables_number 123
_symmetry_space_group_name_Hall '-P 4 2'
loop_
_atom_site_label
_atom_site_fract_x
_atom_site_fract_y
_atom_site_fract_z
_atom_site_occupancy
Cu1 0.000 0.000 0.198 1
Os1 0.500 0.500 0.000 1
Pb1 0.500 0.500 0.500 1
```

Calculated density ... 12.75 Mg/m³
Final energy ... -5.168 eV/atom
E_form ... 0.615 eV per atom

Record 3
UGe2Os | PBE | optimized geometry

```
data_UGe2Os
_cell_length_a 4.2586
_cell_length_b 4.2586
_cell_length_c 14.0361
_cell_angle_alpha 90.00
_cell_angle_beta 90.00
_cell_angle_gamma 120.00
_symmetry_space_group_name_H-M 'R -3 m'
_symmetry_Int_Tables_number 166
_symmetry_space_group_name_Hall '-R 3 2"'
loop_
_atom_site_label
_atom_site_fract_x
_atom_site_fract_y
_atom_site_fract_z
_atom_site_occupancy
U1 0.0000 0.0000 0.0000 1
Ge1 0.0000 0.0000 0.2235 1
Os1 0.0000 0.0000 0.5000 1
```

Calculated density ... 12.96 Mg/m³
Final energy ... -8.087 eV/atom
E_form ... -0.149 eV per atom

Record 4
NaSrInPt | PBE | optimized geometry

```
data_NaSrInPt
_cell_length_a 7.258
_cell_length_b 7.258
_cell_length_c 7.258
_cell_angle_alpha 90.00
_cell_angle_beta 90.00
_cell_angle_gamma 90.00
_symmetry_space_group_name_H-M 'F -4 3 m'
_symmetry_Int_Tables_number 216
_symmetry_space_group_name_Hall 'F -4 2 3'
loop_
_atom_site_label
_atom_site_fract_x
_atom_site_fract_y
_atom_site_fract_z
_atom_site_occupancy
Na1 0.000 0.000 0.000 1
Sr1 0.250 0.250 0.750 1
In1 0.250 0.250 0.250 1
Pt1 0.000 0.000 0.500 1
```

Calculated density ... 7.30 Mg/m³
Final energy ... -3.322 eV/atom
E_form ... -0.377 eV per atom

Record 5
Sc4Ru5 | PBE | optimized geometry

```
data_Sc4Ru5
_cell_length_a 9.930
_cell_length_b 9.930
_cell_length_c 3.117
_cell_angle_alpha 90.00
_cell_angle_beta 90.00
_cell_angle_gamma 90.00
_symmetry_space_group_name_H-M 'I 4/m m m'
_symmetry_Int_Tables_number 139
_symmetry_space_group_name_Hall '-I 4 2'
loop_
_atom_site_label
_atom_site_fract_x
_atom_site_fract_y
_atom_site_fract_z
_atom_site_occupancy
Sc1 0.000 0.296 0.000 1
Ru1 0.000 0.000 0.000 1
Ru2 0.168 0.168 0.500 1
```

Calculated density ... 7.40 Mg/m³
Final energy ... -8.177 eV/atom
Energy above the most stable polymorph in this dataset ... 12 meV/atom
E_form ... -0.210 eV per atom

Record 6
CsK2BeO | PBE | optimized geometry

```
data_CsK2BeO
_cell_length_a 5.396
_cell_length_b 5.396
_cell_length_c 5.985
_cell_angle_alpha 90.00
_cell_angle_beta 90.00
_cell_angle_gamma 90.00
_symmetry_space_group_name_H-M 'P 4/m m m'
_symmetry_Int_Tables_number 123
_symmetry_space_group_name_Hall '-P 4 2'
loop_
_atom_site_label
_atom_site_fract_x
_atom_site_fract_y
_atom_site_fract_z
_atom_site_occupancy
Cs1 0.000 0.000 0.000 1
K1 0.000 0.500 0.500 1
Be1 0.500 0.500 0.000 1
O1 0.000 0.000 0.500 1
```

Calculated density ... 2.25 Mg/m³
Final energy ... -2.380 eV/atom

Record 7
NiAs2Ru | PBE | optimized geometry

```
data_NiAs2Ru
_cell_length_a 3.080
_cell_length_b 4.199
_cell_length_c 9.274
_cell_angle_alpha 90.00
_cell_angle_beta 90.00
_cell_angle_gamma 90.00
_symmetry_space_group_name_H-M 'I m m 2'
_symmetry_Int_Tables_number 44
loop_
_symmetry_equiv_pos_as_xyz
'x,y,z'
'-x,-y,z'
'-x,y,z'
'x,-y,z'
'x+1/2,y+1/2,z+1/2'
'-x+1/2,-y+1/2,z+1/2'
'-x+1/2,y+1/2,z+1/2'
'x+1/2,-y+1/2,z+1/2'
loop_
_atom_site_label
_atom_site_fract_x
_atom_site_fract_y
_atom_site_fract_z
_atom_site_occupancy
Ni1 0.000 0.000 0.000 1
As1 0.000 0.000 0.516 1
As2 0.000 0.500 0.289 1
Ru1 0.000 0.500 0.794 1
```

Calculated density ... 8.57 Mg/m³
Final energy ... -6.006 eV/atom
Energy above the most stable polymorph in this dataset ... 202 meV/atom
E_form ... 0.083 eV per atom

Record 8
Cd2TcAu | PBE | optimized geometry

```
data_Cd2TcAu
_cell_length_a 2.866
_cell_length_b 2.866
_cell_length_c 8.839
_cell_angle_alpha 90.00
_cell_angle_beta 90.00
_cell_angle_gamma 90.00
_symmetry_space_group_name_H-M 'P 4/m m m'
_symmetry_Int_Tables_number 123
_symmetry_space_group_name_Hall '-P 4 2'
loop_
_atom_site_label
_atom_site_fract_x
_atom_site_fract_y
_atom_site_fract_z
_atom_site_occupancy
Cd1 0.000 0.000 0.242 1
Tc1 0.500 0.500 0.000 1
Au1 0.500 0.500 0.500 1
```

Calculated density ... 11.89 Mg/m³
Final energy ... -3.642 eV/atom
Energy above the most stable polymorph in this dataset ... 0 meV/atom
E_form ... 0.226 eV per atom

Record 9
Ce2PmScP4 | PBE | optimized geometry

```
data_Ce2PmScP4
_cell_length_a 6.946
_cell_length_b 4.031
_cell_length_c 6.974
_cell_angle_alpha 90.00
_cell_angle_beta 109.54
_cell_angle_gamma 90.00
_symmetry_space_group_name_H-M 'P 1 2/m 1'
_symmetry_Int_Tables_number 10
loop_
_symmetry_equiv_pos_as_xyz
'x,y,z'
'-x,-y,-z'
'-x,y,-z'
'x,-y,z'
loop_
_atom_site_label
_atom_site_fract_x
_atom_site_fract_y
_atom_site_fract_z
_atom_site_occupancy
Ce1 0.000 0.000 0.000 1
Ce2 0.000 0.500 0.500 1
Pm1 0.500 0.000 0.500 1
Sc1 0.500 0.500 0.000 1
P1 0.252 0.500 0.240 1
P2 0.260 0.000 0.764 1
```

Calculated density ... 5.36 Mg/m³
Final energy ... -7.057 eV/atom
E_form ... -1.483 eV per atom

Record 10
ZrZn2Cd | PBE | optimized geometry

```
data_ZrZn2Cd
_cell_length_a 4.379
_cell_length_b 4.379
_cell_length_c 3.850
_cell_angle_alpha 90.00
_cell_angle_beta 90.00
_cell_angle_gamma 90.00
_symmetry_space_group_name_H-M 'P 4/m m m'
_symmetry_Int_Tables_number 123
_symmetry_space_group_name_Hall '-P 4 2'
loop_
_atom_site_label
_atom_site_fract_x
_atom_site_fract_y
_atom_site_fract_z
_atom_site_occupancy
Zr1 0.000 0.000 0.000 1
Zn1 0.000 0.500 0.500 1
Cd1 0.500 0.500 0.000 1
```

Calculated density ... 7.52 Mg/m³
Final energy ... -3.185 eV/atom
E_form ... -0.182 eV per atom

Record 11
Fe2HgH | PBE | optimized geometry

```
data_Fe2HgH
_cell_length_a 6.029
_cell_length_b 6.029
_cell_length_c 6.029
_cell_angle_alpha 90.00
_cell_angle_beta 90.00
_cell_angle_gamma 90.00
_symmetry_space_group_name_H-M 'F m -3 m'
_symmetry_Int_Tables_number 225
_symmetry_space_group_name_Hall '-F 4 2 3'
loop_
_atom_site_label
_atom_site_fract_x
_atom_site_fract_y
_atom_site_fract_z
_atom_site_occupancy
Fe1 0.250 0.250 0.250 1
Hg1 0.000 0.000 0.000 1
H1 0.000 0.000 0.500 1
```

Calculated density ... 9.49 Mg/m³
Final energy ... -4.183 eV/atom
Energy above the most stable polymorph in this dataset ... 650 meV/atom

Record 12
Cs2Ca2TaS6 | PBE | optimized geometry

```
data_Cs2Ca2TaS6
_cell_length_a 6.942
_cell_length_b 11.803
_cell_length_c 8.502
_cell_angle_alpha 90.00
_cell_angle_beta 106.58
_cell_angle_gamma 90.00
_symmetry_space_group_name_H-M 'C 1 2/m 1'
_symmetry_Int_Tables_number 12
loop_
_symmetry_equiv_pos_as_xyz
'x,y,z'
'-x,-y,-z'
'-x,y,-z'
'x,-y,z'
'x+1/2,y+1/2,z'
'-x+1/2,-y+1/2,-z'
'-x+1/2,y+1/2,-z'
'x+1/2,-y+1/2,z'
loop_
_atom_site_label
_atom_site_fract_x
_atom_site_fract_y
_atom_site_fract_z
_atom_site_occupancy
Cs1 0.000 0.173 0.000 1
Ca1 0.000 0.335 0.500 1
Ta1 0.000 0.000 0.500 1
S1 0.210 0.148 0.675 1
S2 0.232 0.000 0.325 1
```

Calculated density ... 3.58 Mg/m³
Final energy ... -5.194 eV/atom